Model i:
TcSnTe2N | the Alexandria database | PBE | relaxed; size of the total moment = 4.1 μB/f.u.
1.0
5.8039 0.0000 0.0000
0.0000 5.8039 0.0000
0.0000 0.0000 3.8681
Tc Sn Te N
1 1 2 1
Cartesian
0.0000 0.0000 0.0000 Tc
2.9019 2.9019 1.9340 Sn
0.0000 2.9019 1.9340 Te
2.9019 0.0000 1.9340 Te
2.9019 2.9019 0.0000 N

Model ii:
TcSnTe2N | the Alexandria database | PBE | relaxed; size of the total moment = 0.0 μB/f.u.
1.0
5.5499 0.0000 0.0000
0.0000 5.5499 0.0000
0.0000 0.0000 3.7370
Tc Sn Te N
1 1 2 1
Cartesian
0.0000 0.0000 0.0000 Tc
2.7749 2.7749 1.8685 Sn
0.0000 2.7749 0.0000 Te
2.7749 0.0000 0.0000 Te
0.0000 0.0000 1.8685 N

What should be chosen as the most stable of them? Choose model ii.

Model i:
Sn2TeN | the Alexandria database | PBE | relaxed; size of the total moment = 0.0 μB/f.u.
1.0
-3.5024 3.5024 3.9613
3.5024 -3.5024 3.9613
3.5024 3.5024 -3.9613
Sn Te N
4 2 2
Cartesian
5.2535 1.0779 -0.9903 Sn
1.0779 1.7512 0.9903 Sn
-1.7512 2.4244 2.9710 Sn
2.4244 1.7512 4.9516 Sn
3.5024 0.0000 1.9807 Te
0.0000 0.0000 3.9613 Te
0.0000 0.0000 0.0000 N
0.0000 3.5024 1.9807 N

Model ii:
Sn2TeN | the Alexandria database | PBE | relaxed; size of the total moment = 0.0 μB/f.u.
1.0
0.0000 3.5479 3.5479
3.5479 0.0000 3.5479
3.5479 3.5479 0.0000
Sn Te N
2 1 1
Cartesian
1.7739 1.7739 1.7739 Sn
5.3218 5.3218 5.3218 Sn
0.0000 0.0000 0.0000 Te
3.5479 3.5479 3.5479 N

What should be chosen as the most stable of them? Choose model i.